No. 1
Crystalline CsNa3Th2S6 at its relaxed geometry, computed with PBE.

Values from the calculation:
Energy relative to the elements, uncorrected = -1580 meV/atom
SG = C2/m (12)

```
12
Lattice="8.740 -2.118 0.000 8.740 2.118 0.000 -1.831 0.000 9.931" Properties=species:S:1:pos:R:3 pbc="T T T"
Cs 0.000 0.000 0.000
Na -0.915 0.000 4.965
Na 5.653 0.000 2.666
Na 9.996 0.000 7.264
Th 4.671 0.000 6.517
Th 10.978 0.000 3.414
S 1.972 0.000 5.392
S 2.994 0.000 1.818
S 7.261 0.000 7.046
S 8.388 0.000 2.885
S 12.655 0.000 8.112
S 13.676 0.000 4.539
```

***

No. 2
Crystalline Pr3OsO6F2 at its relaxed geometry, computed with PBE.

Values from the calculation:
Energy relative to the elements, uncorrected = -2546 meV/atom
SG = C2/m (12)

```
12
Lattice="5.811 -3.389 0.000 5.811 3.389 0.000 -0.290 0.000 5.067" Properties=species:S:1:pos:R:3 pbc="T T T"
Pr 0.000 0.000 0.000
Pr 2.760 1.695 2.534
Pr 2.760 -1.695 2.534
Os 5.666 0.000 2.534
O 4.862 1.540 3.612
O 6.470 1.540 1.455
O 3.949 0.000 1.493
O 7.383 0.000 3.575
O 4.862 -1.540 3.612
O 6.470 -1.540 1.455
F 1.827 0.000 3.952
F 9.505 0.000 1.115
```

***

No. 3
Crystalline MnReBr2 at its relaxed geometry, computed with PBE.

Values from the calculation:
Polymorph energy (0 for the lowest one) = 323 meV per atom
Energy relative to the elements, uncorrected = 531 meV/atom
SG = Imm2 (44)

```
4
Lattice="-1.611 1.613 9.008 1.611 -1.613 9.008 1.611 1.613 -9.008" Properties=species:S:1:pos:R:3 pbc="T T T"
Mn 0.000 0.000 0.000
Re 1.611 0.000 1.677
Br 0.000 0.000 7.413
Br 0.000 1.613 3.448
```

***

No. 4
Crystalline MnHg2Se at its relaxed geometry, computed with PBE.

Values from the calculation:
Energy relative to the elements, uncorrected = -67 meV/atom
SG = Pm (6)

```
4
Lattice="3.621 0.000 0.000 0.000 3.615 0.000 -1.811 0.000 8.398" Properties=species:S:1:pos:R:3 pbc="T T T"
Mn 0.000 0.000 0.000
Hg -0.013 1.808 3.345
Hg 1.788 0.000 5.560
Se 1.810 1.808 0.217
```

***

No. 5
Crystalline PrTmCdOs at its relaxed geometry, computed with PBE.

Values from the calculation:
E_form = -43 kJ/mol of formula units
SG = F-43m (216)

```
4
Lattice="0.000 3.599 3.599 3.599 0.000 3.599 3.599 3.599 0.000" Properties=species:S:1:pos:R:3 pbc="T T T"
Pr 0.000 0.000 0.000
Tm 3.599 3.599 3.599
Cd 1.799 1.799 1.799
Os 5.398 5.398 5.398
```

***

No. 6
Crystalline Mg2TcAu at its relaxed geometry, computed with PBE.

Values from the calculation:
Polymorph energy (0 for the lowest one) = 1 meV per atom
E_form = -24 kJ/mol of formula units
SG = P4/mmm (123)

```
4
Lattice="4.199 0.000 0.000 0.000 4.199 0.000 0.000 0.000 3.809" Properties=species:S:1:pos:R:3 pbc="T T T"
Mg 0.000 2.100 0.000
Mg 2.100 0.000 0.000
Tc 0.000 0.000 1.904
Au 2.100 2.100 1.904
```

***

No. 7
Crystalline Pm5Er4Tl4 at its relaxed geometry, computed with PBE.

Values from the calculation:
E_form = -313 kJ/mol of formula units
SG = I4/m (87)

```
13
Lattice="-6.272 6.272 2.525 6.272 -6.272 2.525 6.272 6.272 -2.525" Properties=species:S:1:pos:R:3 pbc="T T T"
Pm 0.000 0.000 0.000
Pm 7.588 3.859 0.000
Pm 3.859 4.955 0.000
Pm 2.413 1.317 2.525
Pm -1.317 2.413 2.525
Er 5.014 1.179 0.000
Er 5.093 -1.258 2.525
Er 1.179 7.530 0.000
Er 1.258 5.093 2.525
Tl 9.550 1.210 0.000
Tl 1.210 2.994 0.000
Tl 5.062 3.278 2.525
Tl -3.278 5.062 2.525
```

***

No. 8
Crystalline KPrZnO3 at its relaxed geometry, computed with PBE.

Values from the calculation:
Energy relative to the elements, uncorrected = -2118 meV/atom
SG = P2_1/m (11)

```
12
Lattice="7.624 0.000 0.000 0.000 3.683 0.000 -2.144 0.000 8.451" Properties=species:S:1:pos:R:3 pbc="T T T"
K 0.939 0.921 1.429
K 4.542 2.762 7.022
Pr 0.841 2.762 7.127
Pr 4.640 0.921 1.325
Zn -0.857 0.921 5.205
Zn 6.338 2.762 3.246
O -0.830 0.921 7.146
O 0.013 2.762 4.745
O 3.122 2.762 1.039
O 2.359 0.921 7.412
O 5.468 0.921 3.706
O 6.311 2.762 1.306
```